(1)
Below is a geometry-optimized CsCdPbBr6 structure, with properties calculated at the PBE level.

Structure (extended XYZ):
```
9
Lattice="7.447 -0.002 0.005 3.723 6.449 0.000 -0.005 0.004 8.028" Properties=species:S:1:pos:R:3 pbc="T T T"
Br 8.813 2.495 2.336
Br 9.688 4.017 5.702
Br 8.323 6.385 2.335
Br 5.199 4.017 2.334
Br 6.076 2.498 5.700
Br 6.565 6.386 5.699
Cs 0.001 0.000 0.000
Pb 3.721 2.150 4.017
Cd 7.445 4.300 4.017
```

Summary:
spin magnetization = 0.000 μB per formula unit
density of states at the Fermi level = 6.63 states/eV/f.u.
formation energy without anion corrections = -0.9528 eV per atom


(2)
Below is a geometry-optimized NbNiPdAu structure, with properties calculated at the PBE level.

Structure (extended XYZ):
```
4
Lattice="-1.252 1.794 3.873 -2.928 -2.121 2.591 1.333 -1.825 3.831" Properties=species:S:1:pos:R:3 pbc="T T T"
Pd -2.135 -1.614 7.721
Ni -0.712 -0.538 2.574
Au -1.424 -1.076 5.147
Nb 0.000 0.000 0.000
```

Summary:
spin magnetization = 0.000 μB per formula unit
E_form = -114.0 meV/atom
density of states at the Fermi level = 5.75 states/eV/f.u.


(3)
Below is a geometry-optimized SiRuBr2 structure, with properties calculated at the PBE level.

Structure (extended XYZ):
```
4
Lattice="4.821 0.073 0.030 -1.046 4.707 0.030 1.863 2.358 3.699" Properties=species:S:1:pos:R:3 pbc="T T T"
Si 0.409 3.532 1.864
Br 1.888 2.390 0.030
Br 0.000 0.000 0.000
Ru 3.342 1.216 1.864
```

Summary:
distance to the lowest polymorph of the same formula = 868 meV per atom
spin magnetization = 0.996 μB per formula unit
density of states at the Fermi level = 5.14 states/eV/f.u.
formation energy without anion corrections = 0.7822 eV per atom


(4)
Below is a geometry-optimized Rb2PmPuSe4 structure, with properties calculated at the PBE level.

Structure (extended XYZ):
```
8
Lattice="4.339 0.000 0.000 0.000 7.526 0.127 0.000 -2.645 7.938" Properties=species:S:1:pos:R:3 pbc="T T T"
Pm 0.000 0.000 0.000
Rb 0.000 2.440 4.033
Rb 2.169 -1.323 3.969
Se 2.169 1.237 1.612
Se 0.000 -0.087 6.421
Se 2.169 3.643 6.453
Se 0.000 4.968 1.644
Pu 2.169 3.763 0.064
```

Summary:
spin magnetization = 5.000 μB per formula unit
density of states at the Fermi level = 12.30 states/eV/f.u.
formation energy without anion corrections = -1.5809 eV per atom


(5)
Below is a geometry-optimized Sr3TiRh structure, with properties calculated at the PBE level.

Structure (extended XYZ):
```
5
Lattice="5.762 0.000 0.000 0.000 5.762 0.000 0.000 0.000 5.762" Properties=species:S:1:pos:R:3 pbc="T T T"
Sr 0.000 2.881 0.000
Sr 2.881 0.000 0.000
Sr 0.000 0.000 2.881
Ti 2.881 2.881 2.881
Rh 0.000 0.000 0.000
```

Summary:
distance to the lowest polymorph of the same formula = 0 meV per atom
spin magnetization = 2.933 μB per formula unit
E_form = 411.5 meV/atom
density of states at the Fermi level = 13.26 states/eV/f.u.


(6)
Below is a geometry-optimized TiGaBi2Mo structure, with properties calculated at the PBE level.

Structure (extended XYZ):
```
5
Lattice="5.417 0.000 0.000 0.000 4.726 0.000 0.000 0.000 5.417" Properties=species:S:1:pos:R:3 pbc="T T T"
Mo 0.000 2.363 0.000
Bi 2.709 0.000 0.000
Bi 0.000 0.000 2.709
Ga 2.709 2.363 2.709
Ti 0.000 0.000 0.000
```

Summary:
spin magnetization = 1.707 μB per formula unit
E_form = 843.7 meV/atom
density of states at the Fermi level = 4.12 states/eV/f.u.


Which value of density of states at the Fermi level does entry 4 give?
12.30 states/eV/f.u.


Look up the spin magnetization of the second one.
0.000 μB per formula unit


Look up the spin magnetization of the sixth one.
1.707 μB per formula unit


Which formula does entry 1 have?
CsCdPbBr6